! Sr3Al9Pt2 | Alexandria via LeMat-Bulk | PBE-GGA | relaxed; values from VASP
! E_form: -500 meV/atom
! calculated volume: 297.9 Å³/cell
! raw total energy: -4.13 eV/atom
&SYSTEM
  ibrav = 0, nat = 14, ntyp = 3
/
ATOMIC_SPECIES
Al 26.98 Al.upf
Pt 195.08 Pt.upf
Sr 87.62 Sr.upf
CELL_PARAMETERS angstrom
4.2816 0.0000 1.0925
1.7032 8.1024 2.2613
0.0905 -0.1341 8.5812
ATOMIC_POSITIONS angstrom
Al 4.1270 5.3933 10.6341
Al 4.5983 7.8003 8.7872
Al 0.8968 3.9842 5.4212
Al 5.2415 6.6770 6.2665
Al 4.5447 3.1186 8.9969
Al 1.5305 4.8497 2.9381
Al 1.4769 0.1680 3.1479
Al 1.9482 2.5750 1.3009
Al 0.8337 1.2913 5.6685
Pt 2.6623 2.0674 7.4383
Pt 3.4129 5.9010 4.4967
Sr 3.4979 2.5100 4.1638
Sr 0.0000 0.0000 0.0000
Sr 2.5773 5.4583 7.7713